Record 1
The following is a PBE-GGA calculation of a geometry-optimized Rb2CeCdSe4 structure, from the Alexandria database.

DFT total energy	-4.0334	eV per atom
E_form (uncorrected)	-1193.1	meV per atom
crystal system	monoclinic

Unit cell a=8.9819 b=8.9819 c=8.8426 alpha=119.45 beta=119.45 gamma=91.81
Fractional coordinates of all 16 atoms:
Rb 0.0000 0.0000 0.0000
Rb 0.0000 0.0000 0.5000
Rb 0.0000 0.5000 0.0000
Rb 0.5000 0.0000 0.5000
Ce 0.0000 0.5000 0.5000
Ce 0.5000 0.0000 0.0000
Cd 0.5000 0.5000 0.0000
Cd 0.5000 0.5000 0.5000
Se 0.2553 0.7443 0.9596
Se 0.2557 0.7447 0.5404
Se 0.2684 0.3146 0.5408
Se 0.3146 0.2684 0.0408
Se 0.6854 0.7316 0.9592
Se 0.7316 0.6854 0.4592
Se 0.7443 0.2553 0.4596
Se 0.7447 0.2557 0.0404

---

Record 2
The following is a PBE-GGA calculation of a geometry-optimized Rb4Ce3CdSe8 structure, from the Alexandria database.

DFT total energy	-4.6225	eV per atom
Fermi-level density of states	12.60	states/eV/f.u.
E_form (uncorrected)	-1468.5	meV per atom
crystal system	trigonal

Unit cell a=9.4232 b=9.4232 c=9.4232 alpha=54.93 beta=54.93 gamma=54.93
Fractional coordinates of all 16 atoms:
Rb 0.0000 0.0000 0.0000
Rb 0.0000 0.5000 0.5000
Rb 0.5000 0.0000 0.5000
Rb 0.5000 0.5000 0.0000
Ce 0.0000 0.0000 0.5000
Ce 0.0000 0.5000 0.0000
Ce 0.5000 0.0000 0.0000
Cd 0.5000 0.5000 0.5000
Se 0.2307 0.7329 0.7329
Se 0.2331 0.2331 0.2331
Se 0.2671 0.2671 0.7693
Se 0.2671 0.7693 0.2671
Se 0.7329 0.2307 0.7329
Se 0.7329 0.7329 0.2307
Se 0.7669 0.7669 0.7669
Se 0.7693 0.2671 0.2671

---

Record 3
The following is a PBE-GGA calculation of a geometry-optimized Rb2Ce2CdSe6 structure, from the Alexandria database.

DFT total energy	-4.5876	eV per atom
E_form (uncorrected)	-1348.9	meV per atom
crystal system	monoclinic

Unit cell a=7.3355 b=7.3355 c=8.5112 alpha=97.68 beta=97.68 gamma=121.02
Fractional coordinates of all 11 atoms:
Rb 0.1619 0.8381 0.0000
Rb 0.8381 0.1619 0.0000
Ce 0.3340 0.6660 0.5000
Ce 0.6660 0.3340 0.5000
Cd 0.0000 0.0000 0.5000
Se 0.0600 0.4062 0.6931
Se 0.2694 0.2694 0.3116
Se 0.4062 0.0600 0.6931
Se 0.5938 0.9400 0.3069
Se 0.7306 0.7306 0.6884
Se 0.9400 0.5938 0.3069